DFT (PBE) results for Zn4Ni15W after structural relaxation.

The structure belongs to space group P4/mmm (No. 123); the cell edges are 3.592, 3.592 and 17.918 Å and the angles 90.00°, 90.00° and 90.00°. Symmetry generates all atoms from Zn at (0.000, 0.000, 0.100), Zn at (0.000, 0.000, 0.297), Ni at (0.000, 0.500, 0.000), Ni at (0.000, 0.500, 0.199), Ni at (0.000, 0.500, 0.400), Ni at (0.500, 0.500, 0.099), Ni at (0.500, 0.500, 0.299), Ni at (0.500, 0.500, 0.500) and W at (0.000, 0.000, 0.500).

The crystal system is tetragonal. As for the energy relative to the elements: -127 meV per atom.


DFT (PBE) results for PmNd2Sm3Te6 after structural relaxation.

The structure belongs to space group C2/m (No. 12); the cell edges are 19.456, 4.444 and 8.981 Å and the angles 90.00°, 103.28° and 90.00°. Symmetry generates all atoms from Pm at (0.000, 0.000, 0.000), Nd at (0.167, 0.500, 0.334), Sm at (0.000, 0.000, 0.500), Sm at (0.167, 0.500, 0.833), Te at (0.001, 0.500, 0.749), Te at (0.166, 0.000, 0.586) and Te at (0.167, 0.000, 0.080).

The crystal system is monoclinic. Its energy is -5.34 eV/atom.


DFT (PBE) results for Ti2Be2SiRh5 after structural relaxation.

The structure belongs to space group P4/mbm (No. 127); the cell edges are 9.242, 9.242 and 3.031 Å and the angles 90.00°, 90.00° and 90.00°. Symmetry generates all atoms from Ti at (0.172, 0.328, 0.000), Be at (0.125, 0.625, 0.000), Si at (0.000, 0.000, 0.000), Rh at (0.000, 0.500, 0.500) and Rh at (0.070, 0.796, 0.500).

The crystal system is tetragonal. Its energy is -7.33 eV/atom.